Entry from Alexandria via LeMat-Bulk: a relaxed structure of NdCo4P2 (PBE).

Output
Energy of formation, eV per atom: -0.62
Theoretical density, Mg/m³: 7.57

a = 3.8422 Å, b = 3.8422 Å, c = 22.7458 Å
α = 90.00°, β = 90.00°, γ = 120.00°
Space group R-3m (No. 166, hexagonal axes)
Symmetry-distinct sites (fractional):
Nd 0.0000 0.0000 0.0000 x3
Co 0.0000 0.0000 0.1374 x6
Co 0.0000 0.0000 0.4245 x6
P 0.0000 0.0000 0.2338 x6

=====

Entry from Alexandria via LeMat-Bulk: a relaxed structure of Rb2P2Au7 (PBE).

Output
Energy of formation, eV per atom: -0.16
Theoretical density, Mg/m³: 9.01

a = 8.794 Å, b = 14.384 Å, c = 4.695 Å
α = 90.00°, β = 91.19°, γ = 90.00°
Space group C2/m (No. 12)
Symmetry-distinct sites (fractional):
Rb 0.000 0.193 0.000 x4
P 0.234 0.500 0.397 x4
Au 0.000 0.000 0.500 x2
Au 0.165 0.500 0.905 x4
Au 0.205 0.338 0.509 x8

=====

Entry from Alexandria via LeMat-Bulk: a relaxed structure of Ac6P2Rh3Cl (PBE).

Output
ΔE_f (raw), meV per atom: -1047
Theoretical density, Mg/m³: 8.12

a = 19.327 Å, b = 4.324 Å, c = 9.004 Å
α = 90.00°, β = 106.12°, γ = 90.00°
Space group C2/m (No. 12)
Symmetry-distinct sites (fractional):
Ac 0.003 0.000 0.229 x4
Ac 0.165 0.500 0.082 x4
Ac 0.174 0.500 0.578 x4
P 0.163 0.000 0.822 x4
Rh 0.000 0.500 0.000 x2
Rh 0.164 0.000 0.330 x4
Cl 0.000 0.500 0.500 x2

=====

Entry from Alexandria via LeMat-Bulk: a relaxed structure of TaAs2CBr (PBE).

Output
ΔE_f (raw), meV per atom: 1303
Theoretical density, Mg/m³: 8.48

a = 4.303 Å, b = 4.303 Å, c = 4.469 Å
α = 90.00°, β = 90.00°, γ = 90.00°
Space group P4/mmm (No. 123)
Symmetry-distinct sites (fractional):
Ta 0.000 0.000 0.000 x1
As 0.000 0.500 0.500 x2
C 0.500 0.500 0.500 x1
Br 0.500 0.500 0.000 x1